[1]
This record from the Alexandria database describes a geometry-optimized Tb2Er2In5 structure. The functional is PBE.

Lattice parameters (Å, degrees): 7.0472 9.9968 9.4114 122.08 111.99 90.00
Closest atoms and distances in Å follow each position.
Atoms (fractional coordinates):
Tb  0.6561  0.1919  0.2547  5 In 3.13-3.41
Tb  0.0986  0.6919  0.2547  5 In 3.13-3.41
Tb  0.9014  0.4373  0.7453  5 In 3.13-3.41
Tb  0.3439  0.9373  0.7453  5 In 3.13-3.41
Er  0.0000  0.0012  0.0000  6 In 3.09-3.21
Er  0.2588  0.3758  0.5000  4 In 3.11-3.22
Er  0.7412  0.8758  0.5000  4 In 3.11-3.22
Er  0.5000  0.5012  0.0000  6 In 3.09-3.21
In  0.6354  0.6880  0.6999  2 In 2.86-2.98, 1 Er 3.09, 1 Tb 3.18
In  0.7371  0.8261  0.0971  3 In 2.98-3.08, 2 Tb 3.13-3.28, 2 Er 3.14-3.21
In  0.1400  0.2290  0.9029  3 In 2.98-3.08, 2 Tb 3.13-3.28, 2 Er 3.14-3.21
In  0.4355  0.4881  0.3001  2 In 2.86-2.98, 1 Er 3.09, 1 Tb 3.18
In  0.8600  0.3261  0.0971  3 In 2.98-3.08, 2 Tb 3.13-3.28, 2 Er 3.14-3.21
In  0.0578  0.0985  0.5000  4 In 3.08-3.20, 2 Er 3.11-3.15, 2 Tb 3.41
In  0.3646  0.9881  0.3001  2 In 2.86-2.98, 1 Er 3.09, 1 Tb 3.18
In  0.2629  0.7290  0.9029  3 In 2.98-3.08, 2 Tb 3.13-3.28, 2 Er 3.14-3.21
In  0.9422  0.5985  0.5000  4 In 3.08-3.20, 2 Er 3.11-3.15, 2 Tb 3.41
In  0.5645  0.1880  0.6999  2 In 2.86-2.98, 1 Er 3.09, 1 Tb 3.18

Computed properties:
**Density**: 8.08 g/cm3
**Total moment**: 0.000 μB/f.u.
**Symmetry**: No. 46
**Formation enthalpy at 0 K**: -248.1 meV/atom

[2]
This record from the Alexandria database describes a geometry-optimized Rb5ZrSe4 structure. The functional is PBE.

Lattice parameters (Å, degrees): 4.3870 9.3048 10.2835 98.97 102.32 90.00
Closest atoms and distances in Å follow each position.
Atoms (fractional coordinates):
Se  0.3649  0.9337  0.7298  1 Zr 2.69
Se  0.6351  0.0663  0.2702  1 Zr 2.69
Se  0.0077  0.8013  0.0155  2 Zr 2.89
Se  0.9923  0.1987  0.9845  2 Zr 2.89
Rb  0.8447  0.6768  0.6893  3 Se 3.22-3.30
Rb  0.8230  0.1600  0.6460  3 Se 3.24-3.36
Rb  0.1770  0.8400  0.3540  3 Se 3.24-3.36
Rb  0.5000  0.5000  0.0000  4 Se 3.54
Rb  0.1553  0.3232  0.3107  3 Se 3.22-3.30
Zr  0.5000  0.0000  0.0000  6 Se 2.69-2.89

Computed properties:
**Density**: 3.42 g/cm3
**Formation energy without anion corrections**: -96 kJ per mole of atoms
**Total moment**: 0.157 μB/f.u.
**Symmetry**: No. 12

[3]
This record from the Alexandria database describes a geometry-optimized SmY2Sc structure. The functional is PBE.

Lattice parameters (Å, degrees): 3.5244 3.5244 11.5594 81.23 81.23 60.00
Closest atoms and distances in Å follow each position.
Atoms (fractional coordinates):
Sc  0.0000  0.0000  0.0000  6 Y 3.40, 6 Sc 3.52
Y  0.2537  0.2537  0.2390  3 Sc 3.40, 6 Y 3.52, 3 Sm 3.60
Y  0.7463  0.7463  0.7610  3 Sc 3.40, 6 Y 3.52, 3 Sm 3.60
Sm  0.5000  0.5000  0.5000  6 Sm 3.52, 6 Y 3.60

Computed properties:
**Density**: 5.06 g/cm3
**Total moment**: 0.000 μB/f.u.
**Symmetry**: No. 166
**Formation enthalpy at 0 K**: 52.2 meV/atom

[4]
This record from the Alexandria database describes a geometry-optimized NiSn2HI structure. The functional is PBE.

Lattice parameters (Å, degrees): 6.1046 6.1046 4.5350 90.00 90.00 90.00
Closest atoms and distances in Å follow each position.
Atoms (fractional coordinates):
Sn  0.0000  0.5000  0.0000  2 I 3.05
Sn  0.5000  0.0000  0.0000  2 I 3.05
Ni  0.0000  0.0000  0.5000  2 I 2.27
I  0.0000  0.0000  0.0000  2 Ni 2.27
H  0.5000  0.5000  0.5000  8 Sn 3.80

Computed properties:
**Density**: 4.17 g/cm3
**Total moment**: 0.000 μB/f.u.
**Uncorrected energy**: -12.318 eV/f.u.
**Symmetry**: No. 123

[5]
This record from the Alexandria database describes a geometry-optimized InAg2Cl structure. The functional is PBE.

Lattice parameters (Å, degrees): 8.3048 8.3048 8.3048 24.56 24.56 24.56
Closest atoms and distances in Å follow each position.
Atoms (fractional coordinates):
Ag  0.9973  0.9973  0.9973  3 Cl 2.82, 3 In 2.91
Ag  0.5027  0.5027  0.5027  3 Cl 2.82, 3 In 2.91
In  0.7500  0.7500  0.7500  6 Ag 2.91
Cl  0.2500  0.2500  0.2500  6 Ag 2.82

Computed properties:
**Density**: 6.99 g/cm3
**Formation energy without anion corrections**: -16 kJ per mole of atoms
**Total moment**: 0.000 μB/f.u.
**Symmetry**: No. 166

[6]
This record from the Alexandria database describes a geometry-optimized BiOsPd3 structure. The functional is PBE.

Lattice parameters (Å, degrees): 4.8472 4.8472 4.8472 90.00 90.00 90.00
Closest atoms and distances in Å follow each position.
Atoms (fractional coordinates):
Os  0.0000  0.0000  0.0000  6 Pd 2.42
Pd  0.5000  0.0000  0.0000  2 Os 2.42
Pd  0.0000  0.5000  0.0000  2 Os 2.42
Pd  0.0000  0.0000  0.5000  2 Os 2.42
Bi  0.5000  0.5000  0.5000  12 Pd 3.43

Computed properties:
**Density**: 10.48 g/cm3
**Total moment**: 0.001 μB/f.u.
**Symmetry**: No. 221
**Formation enthalpy at 0 K**: 1015.8 meV/atom